Compound: CePuThSn
Source: Alexandria
Functional: PBE-GGA
Structure: optimized geometry Values from VASP.

The structure in Quantum ESPRESSO input format:
```
&SYSTEM
  ibrav = 0, nat = 4, ntyp = 4
/
ATOMIC_SPECIES
Ce 140.12 Ce.upf
Pu 244.00 Pu.upf
Th 232.04 Th.upf
Sn 118.71 Sn.upf
CELL_PARAMETERS angstrom
-3.4685 2.3435 2.2008
-2.6259 -0.1973 -3.9283
1.1331 -5.3074 2.3559
ATOMIC_POSITIONS crystal
Ce 0.0000 0.0000 0.0000
Pu 0.7500 0.2500 0.5000
Th 0.2500 0.7500 0.5000
Sn 0.5000 0.5000 0.0000
```

Results
Its formation energy is -0.29 eV per atom. The calculation puts the density of states at the Fermi level at 1.83 states/eV per atom. Its symmetry is I-4m2 (119). The energy above the lowest structure with this stoichiometry is 0.0 meV per atom. The value obtained for the volume is 27.289 Å³ per atom.


Compound: CePuThSn
Source: Alexandria
Functional: PBE-GGA
Structure: optimized geometry Values from VASP.

The structure in Quantum ESPRESSO input format:
```
&SYSTEM
  ibrav = 0, nat = 4, ntyp = 4
/
ATOMIC_SPECIES
Sn 118.71 Sn.upf
Ce 140.12 Ce.upf
Th 232.04 Th.upf
Pu 244.00 Pu.upf
CELL_PARAMETERS angstrom
5.3955 0.0000 0.0000
2.6977 4.6726 0.0000
2.6977 1.5575 4.4054
ATOMIC_POSITIONS crystal
Sn 0.5000 0.5000 0.5000
Ce 0.2500 0.2500 0.2500
Th 0.0000 0.0000 0.0000
Pu 0.7500 0.7500 0.7500
```

Results
Its formation energy is -0.10 eV per atom. The calculation puts the density of states at the Fermi level at 2.96 states/eV per atom. Its symmetry is F-43m (216). The energy above the lowest structure with this stoichiometry is 192.4 meV per atom. The value obtained for the volume is 27.766 Å³ per atom.


Compound: SrCePu
Source: Alexandria
Functional: PBE-GGA
Structure: optimized geometry Values from VASP.

The structure in Quantum ESPRESSO input format:
```
&SYSTEM
  ibrav = 0, nat = 6, ntyp = 3
/
ATOMIC_SPECIES
Pu 244.00 Pu.upf
Sr 87.62 Sr.upf
Ce 140.12 Ce.upf
CELL_PARAMETERS angstrom
3.8113 0.0000 0.0000
-1.9056 3.5188 0.8875
0.0000 -1.0611 15.3214
ATOMIC_POSITIONS crystal
Pu 0.1165 0.2330 0.0777
Pu 0.8835 0.7670 0.9223
Sr 0.3940 0.7880 0.3834
Sr 0.6060 0.2120 0.6166
Ce 0.2414 0.4827 0.8311
Ce 0.7586 0.5173 0.1689
```

Results
Its formation energy is 0.23 eV per atom. The calculation puts the density of states at the Fermi level at 2.12 states/eV per atom. Its symmetry is C2/m (12). The value obtained for the volume is 34.844 Å³ per atom.


Compound: Ce2PuTa
Source: Alexandria
Functional: PBE-GGA
Structure: optimized geometry Values from VASP.

The structure in Quantum ESPRESSO input format:
```
&SYSTEM
  ibrav = 0, nat = 4, ntyp = 3
/
ATOMIC_SPECIES
Ta 180.95 Ta.upf
Ce 140.12 Ce.upf
Pu 244.00 Pu.upf
CELL_PARAMETERS angstrom
-0.8869 0.1532 -2.8951
-0.0881 -2.5132 -1.6935
-11.3636 -2.6132 1.7554
ATOMIC_POSITIONS crystal
Ta 0.0000 0.0000 0.0000
Ce 0.0822 0.0822 0.7533
Ce 0.9178 0.9178 0.2467
Pu 0.5000 0.5000 0.5000
```

Results
Its formation energy is 0.45 eV per atom. The calculation puts the density of states at the Fermi level at 2.83 states/eV per atom. Its symmetry is R-3m (166). The value obtained for the volume is 23.206 Å³ per atom.


Compound: CePu2Ta
Source: Alexandria
Functional: PBE-GGA
Structure: optimized geometry Values from VASP.

The structure in Quantum ESPRESSO input format:
```
&SYSTEM
  ibrav = 0, nat = 4, ntyp = 3
/
ATOMIC_SPECIES
Ta 180.95 Ta.upf
Ce 140.12 Ce.upf
Pu 244.00 Pu.upf
CELL_PARAMETERS angstrom
3.0010 0.0000 0.0000
1.5005 2.5989 0.0000
1.5005 0.8663 11.7514
ATOMIC_POSITIONS crystal
Ta 0.0000 0.0000 0.0000
Ce 0.5000 0.5000 0.5000
Pu 0.0805 0.0805 0.7585
Pu 0.9195 0.9195 0.2415
```

Results
Its formation energy is 0.55 eV per atom. The calculation puts the density of states at the Fermi level at 3.88 states/eV per atom. Its symmetry is R-3m (166). The energy above the lowest structure with this stoichiometry is 307.3 meV per atom. The value obtained for the volume is 22.913 Å³ per atom.


Compound: CePuTa
Source: Alexandria
Functional: PBE-GGA
Structure: optimized geometry Values from VASP.

The structure in Quantum ESPRESSO input format:
```
&SYSTEM
  ibrav = 0, nat = 6, ntyp = 3
/
ATOMIC_SPECIES
Pu 244.00 Pu.upf
Ta 180.95 Ta.upf
Ce 140.12 Ce.upf
CELL_PARAMETERS angstrom
5.2344 0.0000 0.0000
-2.6172 3.9959 0.3015
0.0000 -1.4765 6.2708
ATOMIC_POSITIONS crystal
Pu 0.0039 0.0079 0.7278
Pu 0.9961 0.9921 0.2722
Ta 0.3387 0.6773 0.5740
Ta 0.6613 0.3227 0.4260
Ce 0.6990 0.3981 0.9087
Ce 0.3010 0.6019 0.0913
```

Results
Its formation energy is 0.23 eV per atom. The calculation puts the density of states at the Fermi level at 2.19 states/eV per atom. Its symmetry is C2/m (12). The value obtained for the volume is 22.248 Å³ per atom.


Q: volume of number 6 (CePuTa)?
A: 22.248 Å³ per atom


What did the fourth record say?
Compound: Ce2PuTa
Source: Alexandria
Functional: PBE-GGA
Structure: optimized geometry Values from VASP.

The structure in Quantum ESPRESSO input format:
```
&SYSTEM
  ibrav = 0, nat = 4, ntyp = 3
/
ATOMIC_SPECIES
Ta 180.95 Ta.upf
Ce 140.12 Ce.upf
Pu 244.00 Pu.upf
CELL_PARAMETERS angstrom
-0.8869 0.1532 -2.8951
-0.0881 -2.5132 -1.6935
-11.3636 -2.6132 1.7554
ATOMIC_POSITIONS crystal
Ta 0.0000 0.0000 0.0000
Ce 0.0822 0.0822 0.7533
Ce 0.9178 0.9178 0.2467
Pu 0.5000 0.5000 0.5000
```

Results
Its formation energy is 0.45 eV per atom. The calculation puts the density of states at the Fermi level at 2.83 states/eV per atom. Its symmetry is R-3m (166). The value obtained for the volume is 23.206 Å³ per atom.


Please write out number 5 again, unchanged.
Compound: CePu2Ta
Source: Alexandria
Functional: PBE-GGA
Structure: optimized geometry Values from VASP.

The structure in Quantum ESPRESSO input format:
```
&SYSTEM
  ibrav = 0, nat = 4, ntyp = 3
/
ATOMIC_SPECIES
Ta 180.95 Ta.upf
Ce 140.12 Ce.upf
Pu 244.00 Pu.upf
CELL_PARAMETERS angstrom
3.0010 0.0000 0.0000
1.5005 2.5989 0.0000
1.5005 0.8663 11.7514
ATOMIC_POSITIONS crystal
Ta 0.0000 0.0000 0.0000
Ce 0.5000 0.5000 0.5000
Pu 0.0805 0.0805 0.7585
Pu 0.9195 0.9195 0.2415
```

Results
Its formation energy is 0.55 eV per atom. The calculation puts the density of states at the Fermi level at 3.88 states/eV per atom. Its symmetry is R-3m (166). The energy above the lowest structure with this stoichiometry is 307.3 meV per atom. The value obtained for the volume is 22.913 Å³ per atom.